1.
The following is a PBE-GGA calculation of a geometry-optimized TcH5 structure, from the Alexandria database.

Output
Space-group type: No. 65
Crystal system: orthorhombic
Total energy: -25.723 eV/f.u.

```
TcH5
1.0
1.414 -4.610 0.000
1.414 4.610 0.000
0.000 0.000 2.836
Tc H
1 5
direct
0.000 0.000 0.000
0.127 0.873 0.500
0.372 0.628 0.000
0.500 0.500 0.500
0.628 0.372 0.000
0.873 0.127 0.500
```

2.
The following is a PBE-GGA calculation of a geometry-optimized BeSbMo structure, from the Alexandria database.

Output
Uncorrected formation energy: 612 meV per atom
Space-group type: No. 216
Energy relative to the lowest polymorph listed for this composition: 1.35 eV per formula unit
Crystal system: cubic

```
BeSbMo
1.0
0.000 2.914 2.914
2.914 0.000 2.914
2.914 2.914 0.000
Be Sb Mo
1 1 1
direct
0.000 0.000 0.000
0.750 0.750 0.750
0.250 0.250 0.250
```

3.
The following is a PBE-GGA calculation of a geometry-optimized BaNaTeO4 structure, from the Alexandria database.

Output
Uncorrected formation energy: -1235 meV per atom
Space-group type: No. 216
Crystal system: cubic

```
BaNaTeO4
1.0
0.000 4.576 4.576
4.576 0.000 4.576
4.576 4.576 0.000
Ba Na Te O
1 1 1 4
direct
0.000 0.000 0.000
0.750 0.750 0.750
0.500 0.500 0.500
0.145 0.618 0.618
0.618 0.145 0.618
0.618 0.618 0.145
0.618 0.618 0.618
```

4.
The following is a PBE-GGA calculation of a geometry-optimized BPC structure, from the Alexandria database.

Output
Space-group type: No. 107
Energy relative to the lowest polymorph listed for this composition: 2.38 eV per formula unit
Crystal system: tetragonal
Energy of formation from the pure elements: 1.03 eV/atom

```
BPC
1.0
-1.237 1.237 4.314
1.237 -1.237 4.314
1.237 1.237 -4.314
B P C
1 1 1
direct
0.000 0.000 0.000
0.236 0.236 0.000
0.451 0.451 0.000
```